No. 1
Density functional theory data (PBE-GGA) for a geometry-optimized SiGe3Pd4 structure.

```
8
Lattice="-5.175 -1.012 -2.367 -0.825 -2.161 2.729 -2.378 4.876 3.142" Properties=species:S:1:pos:R:3 pbc="T T T"
Pd -3.429 -0.635 0.805
Ge -1.137 0.210 -0.177
Ge -4.542 1.366 -0.292
Pd -1.703 3.333 2.124
Pd -4.479 3.405 1.342
Ge -6.813 2.576 2.324
Pd -1.173 0.464 2.357
Si -3.415 1.427 2.442
```

Calculated values
symmetry = Pm
volume = 129.62 Å³/f.u.
VASP energy = -0.4025 Ry per atom


No. 2
Density functional theory data (PBE-GGA) for a geometry-optimized NaHfCoGe structure.

```
4
Lattice="0.000 3.241 3.241 3.241 0.000 3.241 3.241 3.241 0.000" Properties=species:S:1:pos:R:3 pbc="T T T"
Co 3.241 3.241 3.241
Na 4.862 4.862 4.862
Hf 1.621 1.621 1.621
Ge 0.000 0.000 0.000
```

Calculated values
symmetry = F-43m
excess energy over the best structure of this formula in the dataset = 0.118 eV/atom
volume = 68.11 Å³/f.u.


No. 3
Density functional theory data (PBE-GGA) for a geometry-optimized LiHo4In5 structure.

```
10
Lattice="-1.160 -0.659 3.227 3.252 -0.774 1.010 3.059 19.488 5.078" Properties=species:S:1:pos:R:3 pbc="T T T"
In 3.867 17.254 6.802
Ho 0.560 3.569 0.930
Ho 1.206 7.680 2.001
In 3.224 13.155 5.734
Ho 1.854 11.808 3.077
Ho 2.499 15.919 4.148
In 2.576 9.028 4.658
Li 0.000 0.000 0.000
In 1.284 0.802 2.515
In 1.928 4.900 3.583
```

Calculated values
symmetry = P4/mmm
volume = 248.42 Å³/f.u.
VASP energy = -0.2807 Ry per atom


No. 4
Density functional theory data (PBE-GGA) for a geometry-optimized RePbO3 structure.

```
5
Lattice="3.997 0.000 0.000 0.000 3.997 0.000 0.000 0.000 3.987" Properties=species:S:1:pos:R:3 pbc="T T T"
Pb 0.000 0.000 0.203
Re 1.999 1.999 2.323
O 1.999 1.999 0.334
O 1.999 0.000 2.357
O 0.000 1.999 2.357
```

Calculated values
symmetry = P4mm
volume = 63.70 Å³/f.u.
VASP energy = -0.5373 Ry per atom


No. 5
Density functional theory data (PBE-GGA) for a geometry-optimized NbNiAsPt structure.

```
4
Lattice="1.533 1.289 3.984 -1.410 -2.049 3.701 2.775 -2.640 2.282" Properties=species:S:1:pos:R:3 pbc="T T T"
Nb 1.449 -1.700 4.983
Ni 2.173 -2.550 7.474
As 0.000 0.000 0.000
Pt 0.724 -0.850 2.491
```

Calculated values
symmetry = F-43m
excess energy over the best structure of this formula in the dataset = 0.240 eV/atom
volume = 62.68 Å³/f.u.


No. 6
Density functional theory data (PBE-GGA) for a geometry-optimized Zr2Si structure.

```
12
Lattice="5.313 0.000 0.000 0.000 9.585 0.000 0.000 0.000 4.735" Properties=species:S:1:pos:R:3 pbc="T T T"
Zr 1.614 0.265 2.367
Zr 2.813 1.332 0.000
Si 4.466 4.975 2.367
Zr 1.614 6.124 2.367
Zr 4.401 7.987 2.367
Zr 2.427 3.195 2.367
Si 5.274 6.207 0.000
Zr 0.027 3.195 0.000
Zr 2.813 5.058 0.000
Si 4.466 1.415 2.367
Si 5.274 0.183 0.000
Zr 2.000 7.987 0.000
```

Calculated values
symmetry = Pmmn
volume = 60.27 Å³/f.u.
VASP energy = -0.5722 Ry per atom


No. 7
Density functional theory data (PBE-GGA) for a geometry-optimized CsCu2IBrCl structure.

```
12
Lattice="-3.688 -6.053 3.218 -1.744 -1.703 -5.203 8.046 -2.293 -1.946" Properties=species:S:1:pos:R:3 pbc="T T T"
Br -0.897 -2.865 -0.348
Cs 4.979 -4.157 -5.066
Cu 1.183 -6.927 -4.465
Cl 0.310 -2.626 -4.003
Cu 0.565 -3.969 -2.054
Cu 1.432 -3.122 0.534
Br 3.512 -7.184 -3.584
Cs -2.364 -5.892 1.135
Cl 2.306 -7.423 0.071
I 3.132 -3.686 -1.429
Cu 2.051 -6.080 -1.877
I -0.517 -6.363 -2.502
```

Calculated values
symmetry = P2_1/m
excess energy over the best structure of this formula in the dataset = 0.000 eV/atom
volume = 181.33 Å³/f.u.


No. 8
Density functional theory data (PBE-GGA) for a geometry-optimized CsMgIrW structure.

```
4
Lattice="3.554 -2.744 1.785 0.361 -0.683 4.769 -1.011 -4.324 1.905" Properties=species:S:1:pos:R:3 pbc="T T T"
Ir 0.000 0.000 0.000
Mg 2.178 -5.813 6.344
W 0.726 -1.938 2.115
Cs 1.452 -3.876 4.230
```

Calculated values
symmetry = F-43m
excess energy over the best structure of this formula in the dataset = 0.000 eV/atom
volume = 79.76 Å³/f.u.


No. 9
Density functional theory data (PBE-GGA) for a geometry-optimized HfMgAlCu structure.

```
4
Lattice="4.576 -0.533 0.115 1.848 -4.179 -0.597 2.304 -0.968 -3.871" Properties=species:S:1:pos:R:3 pbc="T T T"
Mg 4.364 -2.840 -2.177
Hf 2.182 -1.420 -1.088
Al 0.000 0.000 0.000
Cu 6.546 -4.260 -3.265
```

Calculated values
symmetry = F-43m
excess energy over the best structure of this formula in the dataset = 0.033 eV/atom
volume = 69.18 Å³/f.u.


No. 10
Density functional theory data (PBE-GGA) for a geometry-optimized NdDyCu2 structure.

```
8
Lattice="4.505 0.000 0.000 0.000 7.198 0.000 0.000 0.000 5.439" Properties=species:S:1:pos:R:3 pbc="T T T"
Nd 2.253 4.115 0.706
Cu 2.253 5.253 3.412
Cu 0.000 1.945 0.692
Nd 0.000 3.083 3.425
Cu 2.253 1.468 4.772
Cu 0.000 5.730 2.053
Dy 0.000 6.713 4.708
Dy 2.253 0.484 1.988
```

Calculated values
symmetry = Pmn2_1
excess energy over the best structure of this formula in the dataset = 0.000 eV/atom
volume = 88.19 Å³/f.u.


No. 11
Density functional theory data (PBE-GGA) for a geometry-optimized LiInFeW structure.

```
4
Lattice="-1.229 -3.507 2.381 -4.267 -1.093 0.279 -1.486 -3.630 -2.024" Properties=species:S:1:pos:R:3 pbc="T T T"
In 0.000 0.000 0.000
Li -5.236 -6.173 0.477
W -1.745 -2.058 0.159
Fe -3.491 -4.115 0.318
```

Calculated values
symmetry = F-43m
excess energy over the best structure of this formula in the dataset = 0.252 eV/atom
volume = 60.80 Å³/f.u.


No. 12
Density functional theory data (PBE-GGA) for a geometry-optimized Ho3Te2S structure.

```
6
Lattice="4.118 0.000 0.000 -2.059 3.566 0.000 0.000 0.000 10.641" Properties=species:S:1:pos:R:3 pbc="T T T"
Te 0.000 2.377 8.704
Ho 0.000 2.377 3.939
Te 2.059 1.189 1.938
S 0.000 0.000 5.321
Ho 2.059 1.189 6.702
Ho 0.000 0.000 0.000
```

Calculated values
symmetry = P-3m1
volume = 156.24 Å³/f.u.
VASP energy = -0.4040 Ry per atom


No. 13
Density functional theory data (PBE-GGA) for a geometry-optimized Dy2Mo structure.

```
6
Lattice="-3.267 -0.533 7.430 0.058 6.461 4.942 -6.939 3.897 1.681" Properties=species:S:1:pos:R:3 pbc="T T T"
Dy -3.805 3.684 5.270
Dy -5.439 3.417 8.985
Dy -7.275 5.633 6.111
Mo -2.537 2.456 3.513
Mo -5.074 4.912 7.027
Dy -3.776 6.914 7.741
```

Calculated values
symmetry = Fd-3m
excess energy over the best structure of this formula in the dataset = 0.707 eV/atom
volume = 190.29 Å³/f.u.


No. 14
Density functional theory data (PBE-GGA) for a geometry-optimized DyYLu6 structure.

```
8
Lattice="-5.005 0.178 5.014 3.426 -6.050 -1.374 3.826 1.310 3.773" Properties=species:S:1:pos:R:3 pbc="T T T"
Lu 0.810 -0.299 3.337
Lu -1.679 -0.211 5.830
Dy 0.000 0.000 0.000
Lu -0.798 -2.929 1.827
Lu 0.024 -3.219 5.147
Lu -3.285 -2.841 4.318
Y 2.529 -3.319 2.642
Lu -2.501 0.077 2.509
```

Calculated values
symmetry = P-6m2
volume = 240.58 Å³/f.u.
VASP energy = -0.3510 Ry per atom


No. 15
Density functional theory data (PBE-GGA) for a geometry-optimized Nd3ClO4 structure.

```
8
Lattice="3.994 0.000 0.000 0.000 3.994 0.000 0.000 0.000 9.057" Properties=species:S:1:pos:R:3 pbc="T T T"
Nd 0.000 0.000 0.000
Cl 0.000 0.000 4.528
Nd 1.997 1.997 6.583
Nd 1.997 1.997 2.473
O 1.997 0.000 7.610
O 0.000 1.997 7.610
O 0.000 1.997 1.447
O 1.997 0.000 1.447
```

Calculated values
symmetry = P4/mmm
volume = 144.45 Å³/f.u.
VASP energy = -0.5599 Ry per atom


No. 16
Density functional theory data (PBE-GGA) for a geometry-optimized GaRe2Ir structure.

```
4
Lattice="0.000 3.090 3.090 3.090 0.000 3.090 3.090 3.090 0.000" Properties=species:S:1:pos:R:3 pbc="T T T"
Re 4.635 4.635 4.635
Ga 3.090 3.090 3.090
Re 0.000 0.000 0.000
Ir 1.545 1.545 1.545
```

Calculated values
symmetry = F-43m
volume = 58.99 Å³/f.u.
VASP energy = -0.6603 Ry per atom


No. 17
Density functional theory data (PBE-GGA) for a geometry-optimized BaCdTeO structure.

```
8
Lattice="2.511 3.002 2.035 2.159 2.081 -5.733 -4.248 6.322 0.695" Properties=species:S:1:pos:R:3 pbc="T T T"
Ba 1.914 3.903 -3.338
O 1.080 1.040 -2.866
Ba -1.492 7.502 0.335
O 0.000 0.000 0.000
Te 0.973 7.329 -2.450
Cd -1.488 6.883 -3.538
Cd 1.910 4.522 0.535
Te -0.551 4.076 -0.553
```

Calculated values
symmetry = Cmcm
volume = 104.50 Å³/f.u.
VASP energy = -0.3024 Ry per atom


No. 18
Density functional theory data (PBE-GGA) for a geometry-optimized GdCo3 structure.

```
4
Lattice="-3.397 0.077 1.861 -1.593 -2.125 -2.820 0.965 -3.238 1.895" Properties=species:S:1:pos:R:3 pbc="T T T"
Gd 0.000 0.000 0.000
Co -0.314 -2.682 -0.463
Co -2.495 -1.024 -0.479
Co -1.216 -1.581 1.878
```

Calculated values
symmetry = Pm-3m
excess energy over the best structure of this formula in the dataset = 0.282 eV/atom
volume = 58.14 Å³/f.u.


No. 19
Density functional theory data (PBE-GGA) for a geometry-optimized HoAlSi structure.

```
9
Lattice="7.386 0.000 0.000 -3.693 6.396 0.000 0.000 0.000 4.000" Properties=species:S:1:pos:R:3 pbc="T T T"
Ho 2.036 0.000 0.000
Si 3.693 2.132 0.000
Al 1.484 2.571 2.000
Ho -1.018 1.763 0.000
Al 4.417 0.000 2.000
Ho 2.675 4.633 0.000
Si 0.000 4.264 0.000
Al -2.208 3.825 2.000
Si 0.000 0.000 2.000
```

Calculated values
symmetry = P-62m
volume = 62.99 Å³/f.u.
VASP energy = -0.3522 Ry per atom


No. 20
Density functional theory data (PBE-GGA) for a geometry-optimized Er2Sb2O5 structure.

```
9
Lattice="-6.406 -4.937 -4.533 2.730 -2.274 -1.381 -0.376 -2.289 3.025" Properties=species:S:1:pos:R:3 pbc="T T T"
O -5.688 -5.383 -2.379
Sb 0.000 0.000 0.000
O 0.459 -1.836 -1.332
O -1.095 -1.843 0.871
Er -3.586 -5.952 -2.548
Er -0.467 -3.548 -0.341
O -4.134 -5.376 -4.582
Sb -3.203 -2.469 -2.266
O -2.026 -4.750 -1.444
```

Calculated values
symmetry = P4/mmm
excess energy over the best structure of this formula in the dataset = 0.000 eV/atom
volume = 134.75 Å³/f.u.